## Ti2NiF (PBE with a Hubbard U)

Data for a relaxed structure of Ti2NiF.

Cell: 4.201 4.201 4.201 Å, 60.00 60.00 60.00°
Atoms (fractional coordinates):
Ti 0.250 0.250 0.250
Ti 0.750 0.750 0.750
Ni 0.000 0.000 0.000
F 0.500 0.500 0.500

Calculated values
E above lowest polymorph: 30 kJ/mol of formula units
DFT total energy: -5.25 eV/atom
Crystal system: cubic